VASP calculation (PBE with a Hubbard U) on YWN2O after structural relaxation.

abc: 4.4288 4.4288 4.2730
angles: 90.00 90.00 90.00
With the nearest neighbours (Å) after each atom.
Space group P4/mmm (No. 123)
Asymmetric unit:
1 Y 0.0000 0.0000 0.0000 (multiplicity 1)  2 O 2.14, 4 N 2.21
2 W 0.5000 0.5000 0.5000 (multiplicity 1)  8 N 3.08, 4 O 3.13
3 N 0.0000 0.5000 0.0000 (multiplicity 2)  2 Y 2.21
4 O 0.0000 0.0000 0.5000 (multiplicity 1)  2 Y 2.14

Summary:
electronic total energy = -6.392 eV/atom
total magnetic moment = 0.200 μB per atom